[1]
First-principles (GGA-PBE) data for a geometry-optimized Ce2BeRh structure, as listed in the Alexandria database.

a = 2.9117 Å, b = 2.9117 Å, c = 10.9460 Å
α = 82.36°, β = 82.36°, γ = 60.00°
Closest atoms and distances in Å follow each position.
Atoms (fractional coordinates):
Be1 0.0000 0.0000 0.0000  6 Be 2.91, 2 Ce 2.95
Ce1 0.9092 0.9092 0.2723  6 Ce 2.91, 1 Be 2.95, 3 Rh 2.98
Ce2 0.0908 0.0908 0.7277  6 Ce 2.91, 1 Be 2.95, 3 Rh 2.98
Rh1 0.5000 0.5000 0.5000  6 Rh 2.91, 6 Ce 2.98

## Properties
Space-group type: R-3m, No. 166
D(E_F) (states/eV/cell): 7.5
Calculated formation energy (eV per atom): 0.422

[2]
First-principles (GGA-PBE) data for a geometry-optimized PaTaCd2O8 structure, as listed in the Alexandria database.

a = 5.0995 Å, b = 5.0975 Å, c = 6.7302 Å
α = 90.00°, β = 90.00°, γ = 92.43°
Closest atoms and distances in Å follow each position.
Atoms (fractional coordinates):
O1 0.1763 0.8230 0.7714  1 Ta 2.01, 1 Pa 2.24
O2 0.7189 0.7197 0.0000  1 Ta 1.98
O3 0.7069 0.7076 0.5000  1 Pa 2.07, 2 Cd 2.27
O4 0.2811 0.2803 0.0000  1 Ta 1.98
O5 0.1763 0.8231 0.2286  1 Ta 2.01, 1 Pa 2.24
O6 0.8237 0.1770 0.2286  1 Ta 2.01, 1 Pa 2.24
O7 0.2931 0.2924 0.5000  1 Pa 2.07, 2 Cd 2.27
O8 0.8237 0.1769 0.7714  1 Ta 2.01, 1 Pa 2.24
Cd1 0.5000 0.5000 0.7582  6 O 2.25-2.38
Cd2 0.5000 0.5000 0.2418  6 O 2.25-2.38
Ta1 0.0000 0.0000 0.0000  6 O 1.98-2.01
Pa1 0.0000 0.0000 0.5000  6 O 2.07-2.24

## Properties
Space-group type: Cmmm, No. 65
D(E_F) (states/eV/cell): 10.0
Energy (eV/f.u.): -87.584

[3]
First-principles (GGA-PBE) data for a geometry-optimized BaAcTl3 structure, as listed in the Alexandria database.

a = 5.3790 Å, b = 4.1953 Å, c = 16.2866 Å
α = 97.40°, β = 90.00°, γ = 90.00°
Closest atoms and distances in Å follow each position.
Atoms (fractional coordinates):
Tl1 0.7500 0.6215 0.2430  3 Tl 3.16-3.33, 2 Ac 3.52
Tl2 0.7500 0.5236 0.0472  3 Tl 3.09-3.16
Tl3 0.7500 0.3175 0.6350  2 Tl 3.33, 5 Ac 3.51-3.52
Tl4 0.2500 0.3785 0.7570  3 Tl 3.16-3.33, 2 Ac 3.52
Tl5 0.2500 0.6825 0.3650  2 Tl 3.33, 5 Ac 3.51-3.52
Tl6 0.2500 0.4764 0.9528  3 Tl 3.09-3.16
Ba1 0.7500 0.9227 0.8454  12 Tl 3.70-3.99
Ba2 0.2500 0.0773 0.1546  12 Tl 3.70-3.99
Ac1 0.2500 0.7910 0.5821  7 Tl 3.51-3.52
Ac2 0.7500 0.2090 0.4179  7 Tl 3.51-3.52

## Properties
Space-group type: Cmcm, No. 63
D(E_F) (states/eV/cell): 7.7
Energy relative to the lowest polymorph listed for this composition (meV/atom): 0.0
Calculated formation energy (eV per atom): -0.322

[4]
First-principles (GGA-PBE) data for a geometry-optimized K2RbAu9 structure, as listed in the Alexandria database.

a = 5.8082 Å, b = 5.8082 Å, c = 10.0319 Å
α = 73.17°, β = 73.17°, γ = 60.00°
Closest atoms and distances in Å follow each position.
Atoms (fractional coordinates):
Au1 0.5826 0.5826 0.7533  7 Au 2.85-2.93
Au2 0.3325 0.3325 0.0025  6 Au 2.85-2.89
Au3 0.4174 0.4174 0.2467  7 Au 2.85-2.93
Au4 0.5000 0.5000 0.5000  6 Au 2.93
Au5 0.4174 0.9184 0.2467  7 Au 2.85-2.93
Au6 0.9184 0.4174 0.2467  7 Au 2.85-2.93
Au7 0.0816 0.5826 0.7533  7 Au 2.85-2.93
Au8 0.6675 0.6675 0.9975  6 Au 2.85-2.89
Au9 0.5826 0.0816 0.7533  7 Au 2.85-2.93
K1 0.8573 0.8573 0.4282  12 Au 3.37-3.50, 3 K 3.62
K2 0.1427 0.1427 0.5718  12 Au 3.37-3.50, 3 K 3.62
Rb1 0.0000 0.0000 0.0000  18 Au 3.35-3.73

## Properties
Space-group type: R-3m, No. 166
D(E_F) (states/eV/cell): 2.0
Calculated formation energy (eV per atom): -0.234

[5]
First-principles (GGA-PBE) data for a geometry-optimized Co4AgMo structure, as listed in the Alexandria database.

a = 4.7215 Å, b = 4.7215 Å, c = 4.7215 Å
α = 60.00°, β = 60.00°, γ = 60.00°
Closest atoms and distances in Å follow each position.
Atoms (fractional coordinates):
Co1 0.8746 0.3751 0.3751  6 Co 2.36
Co2 0.3751 0.3751 0.8746  6 Co 2.36
Co3 0.3751 0.3751 0.3751  6 Co 2.36
Co4 0.3751 0.8746 0.3751  6 Co 2.36
Ag1 0.0000 0.0000 0.0000  12 Co 2.77, 4 Mo 2.89
Mo1 0.7500 0.7500 0.7500  12 Co 2.77, 4 Ag 2.89

## Properties
Space-group type: F-43m, No. 216
D(E_F) (states/eV/cell): 8.9
Calculated formation energy (eV per atom): 0.218

[6]
First-principles (GGA-PBE) data for a geometry-optimized DyHo5S6 structure, as listed in the Alexandria database.

a = 6.7224 Å, b = 6.7315 Å, c = 6.7447 Å
α = 60.07°, β = 80.33°, γ = 70.33°
Closest atoms and distances in Å follow each position.
Atoms (fractional coordinates):
Ho1 0.5000 0.8340 0.3320  6 S 2.74-2.75
Ho2 0.0000 0.3335 0.3330  6 S 2.74-2.75
Ho3 0.0000 0.6665 0.6670  6 S 2.74-2.75
Ho4 0.5000 0.1660 0.6680  6 S 2.74-2.75
Ho5 0.5000 0.5000 0.0000  6 S 2.74-2.75
S1 0.2503 0.2511 0.0000  5 Ho 2.74, 1 Dy 2.76
S2 0.2508 0.9165 0.6654  5 Ho 2.74-2.75, 1 Dy 2.76
S3 0.7492 0.0835 0.3346  5 Ho 2.74-2.75, 1 Dy 2.76
S4 0.7492 0.4182 0.6654  5 Ho 2.74-2.75, 1 Dy 2.76
S5 0.2508 0.5818 0.3346  5 Ho 2.74-2.75, 1 Dy 2.76
S6 0.7497 0.7489 0.0000  5 Ho 2.74, 1 Dy 2.76
Dy1 0.0000 0.0000 0.0000  6 S 2.76

## Properties
Space-group type: C2/m, No. 12
D(E_F) (states/eV/cell): 4.2
Energy (eV/f.u.): -76.016

[7]
First-principles (GGA-PBE) data for a geometry-optimized LiCuPO4 structure, as listed in the Alexandria database.

a = 4.9195 Å, b = 7.8091 Å, c = 8.5835 Å
α = 90.00°, β = 90.00°, γ = 90.00°
Closest atoms and distances in Å follow each position.
Atoms (fractional coordinates):
Li1 0.0084 0.5161 0.8487  3 O 1.99-2.17
Li2 0.5084 0.4839 0.1513  3 O 1.99-2.17
Li3 0.0084 0.0161 0.6513  3 O 1.99-2.17
Li4 0.5084 0.9839 0.3487  3 O 1.99-2.17
O1 0.1117 0.5736 0.4276  1 P 1.59
O2 0.7940 0.2649 0.9077  1 P 1.55
O3 0.7308 0.6320 0.9799  1 P 1.57
O4 0.2308 0.3680 0.0201  1 P 1.57
O5 0.6117 0.9264 0.9276  1 P 1.59
O6 0.3088 0.6890 0.8004  1 P 1.52
O7 0.6117 0.4264 0.5724  1 P 1.59
O8 0.1117 0.0736 0.0724  1 P 1.59
O9 0.2940 0.7351 0.0923  1 P 1.55
O10 0.2308 0.8680 0.4799  1 P 1.57
O11 0.8088 0.3110 0.1996  1 P 1.52
O12 0.7940 0.7649 0.5923  1 P 1.55
O13 0.7308 0.1320 0.5201  1 P 1.57
O14 0.8088 0.8110 0.3004  1 P 1.52
O15 0.3088 0.1890 0.6996  1 P 1.52
O16 0.2940 0.2351 0.4077  1 P 1.55
Cu1 0.4433 0.1544 0.9473  4 O 1.96-2.07
Cu2 0.4433 0.6544 0.5527  4 O 1.96-2.07
Cu3 0.9433 0.8456 0.0527  4 O 1.96-2.07
Cu4 0.9433 0.3456 0.4473  4 O 1.96-2.07
P1 0.9725 0.7571 0.4431  4 O 1.52-1.59
P2 0.9725 0.2571 0.0569  4 O 1.52-1.59
P3 0.4725 0.2429 0.5569  4 O 1.52-1.59
P4 0.4725 0.7429 0.9431  4 O 1.52-1.59

## Properties
Space-group type: Pna2_1, No. 33
D(E_F) (states/eV/cell): 0.9
Energy relative to the lowest polymorph listed for this composition (meV/atom): 59.6

[8]
First-principles (GGA-PBE) data for a geometry-optimized LaNd2Er5 structure, as listed in the Alexandria database.

a = 3.5632 Å, b = 11.1883 Å, c = 8.8092 Å
α = 129.42°, β = 101.65°, γ = 90.00°
Closest atoms and distances in Å follow each position.
Atoms (fractional coordinates):
Nd1 0.7429 0.2423 0.4847  7 Er 3.36-3.52, 2 Nd 3.56, 2 La 3.65
Nd2 0.2571 0.7577 0.5153  7 Er 3.36-3.52, 2 Nd 3.56, 2 La 3.65
Er1 0.0000 0.5000 0.0000  2 Nd 3.38, 10 Er 3.56-3.57
Er2 0.3678 0.5961 0.7352  3 Nd 3.36-3.52, 7 Er 3.48-3.60
Er3 0.6322 0.4039 0.2648  3 Nd 3.36-3.52, 7 Er 3.48-3.60
Er4 0.6322 0.8609 0.2648  3 Nd 3.36-3.52, 7 Er 3.48-3.60
Er5 0.3678 0.1391 0.7352  3 Nd 3.36-3.52, 7 Er 3.48-3.60
La1 0.0000 0.0000 0.0000  2 La 3.56, 4 Nd 3.65, 8 Er 3.93

## Properties
Space-group type: Immm, No. 71
D(E_F) (states/eV/cell): 11.0
Energy relative to the lowest polymorph listed for this composition (meV/atom): 10.2
Calculated formation energy (eV per atom): 0.035